a) The following is a DFT calculation (PBE) of crystalline CrPd8Au2 at its relaxed geometry.

Cell and atoms, written as CIF:
```
data_CrPd8Au2
_space_group_name_H-M_alt 'P 1'
_space_group_IT_number 1
_space_group_name_Hall 'P 1'
_cell_length_a 3.9847
_cell_length_b 6.2993
_cell_length_c 7.4109
_cell_angle_alpha 105.10
_cell_angle_beta 105.60
_cell_angle_gamma 90.00
loop_
_atom_site_label
_atom_site_fract_x
_atom_site_fract_y
_atom_site_fract_z
Cr1 0.5000 0.0000 0.0000
Pd1 0.5873 0.4437 0.1746
Pd2 0.3223 0.0912 0.6447
Pd3 0.1313 0.1718 0.2626
Pd4 0.0439 0.7290 0.0878
Pd5 0.8687 0.8282 0.7374
Pd6 0.6777 0.9088 0.3553
Pd7 0.4127 0.5563 0.8254
Pd8 0.9561 0.2710 0.9122
Au1 0.2261 0.6392 0.4522
Au2 0.7739 0.3608 0.5478
```

**Space-group type**: C2/m
**D(E_F)**: 17.0 states/eV/cell

b) The following is a DFT calculation (PBE) of crystalline CrPd8Au2 at its relaxed geometry.

Cell and atoms, written as CIF:
```
data_CrPd8Au2
_space_group_name_H-M_alt 'P 1'
_space_group_IT_number 1
_space_group_name_Hall 'P 1'
_cell_length_a 4.8318
_cell_length_b 6.6159
_cell_length_c 6.6159
_cell_angle_alpha 82.62
_cell_angle_beta 76.84
_cell_angle_gamma 76.84
loop_
_atom_site_label
_atom_site_fract_x
_atom_site_fract_y
_atom_site_fract_z
Cr1 0.0000 0.0000 0.0000
Pd1 0.8136 0.1594 0.6780
Pd2 0.1864 0.3220 0.8406
Pd3 0.8948 0.2708 0.2708
Pd4 0.1052 0.7292 0.7292
Pd5 0.8136 0.6780 0.1594
Pd6 0.1864 0.8406 0.3220
Pd7 0.2955 0.4286 0.4286
Pd8 0.7045 0.5714 0.5714
Au1 0.4742 0.1470 0.1470
Au2 0.5258 0.8530 0.8530
```

**Space-group type**: C2/m
**D(E_F)**: 12.3 states/eV/cell

Most stable structure among those shown: a).